# 1
A relaxed structure of Be2PSe, computed with GGA-PBE.

The energy relative to the lowest polymorph listed for this composition is 788 meV per atom. As for the total magnetic moment: 0.00 μB per atom. The electronic total energy comes out at -0.267 Ry/atom. Its formation energy without anion corrections is 0.449 eV/atom.

Cell lengths 3.320, 4.068, 8.703 Å; angles 90.00, 90.00, 90.00 degrees
Space group Cmm2 (No. 35)
One atom of each set of equivalent atoms:
Be  0.000  0.000  0.000 (multiplicity 2)
Be  0.000  0.500  0.168 (multiplicity 2)
P  0.000  0.500  0.824 (multiplicity 2)
Se  0.000  0.000  0.428 (multiplicity 2)

# 2
A relaxed structure of LuMgTlRu, computed with GGA-PBE.

As for the total magnetic moment: 0.00 μB per atom. The value obtained for the energy of formation from the pure elements is -5 kJ per mole of atoms. The electronic total energy comes out at -0.330 Ry/atom.

Cell lengths 6.855, 6.855, 6.855 Å; angles 90.00, 90.00, 90.00 degrees
Space group F-43m (No. 216)
One atom of each set of equivalent atoms:
Lu  0.000  0.000  0.000 (multiplicity 4)
Mg  0.000  0.000  0.500 (multiplicity 4)
Tl  0.250  0.250  0.750 (multiplicity 4)
Ru  0.250  0.250  0.250 (multiplicity 4)

# 3
A relaxed structure of Ca5Tl3, computed with GGA-PBE.

The energy relative to the lowest polymorph listed for this composition is 30 meV per atom. As for the total magnetic moment: 0.00 μB per atom. The value obtained for the energy of formation from the pure elements is -31 kJ per mole of atoms. The electronic total energy comes out at -0.181 Ry/atom.

Cell lengths 9.0686, 9.0686, 3.4775 Å; angles 90.00, 90.00, 120.00 degrees
Space group P-62m (No. 189)
One atom of each set of equivalent atoms:
Ca  0.0000  0.2453  0.0000 (multiplicity 3)
Ca  0.3333  0.6667  0.0000 (multiplicity 2)
Tl  0.0000  0.6313  0.5000 (multiplicity 3)

# 4
A relaxed structure of Na4Cu5Se6, computed with GGA-PBE.

As for the total magnetic moment: 0.00 μB per atom. The electronic total energy comes out at -0.266 Ry/atom. Its formation energy without anion corrections is -0.508 eV/atom.

Cell lengths 4.172, 18.428, 15.485 Å; angles 90.00, 90.00, 90.00 degrees
Space group Cmc2_1 (No. 36)
One atom of each set of equivalent atoms:
Na  0.000  0.002  0.000 (multiplicity 4)
Na  0.000  0.020  0.264 (multiplicity 4)
Na  0.000  0.178  0.807 (multiplicity 4)
Na  0.000  0.179  0.445 (multiplicity 4)
Cu  0.000  0.138  0.129 (multiplicity 4)
Cu  0.000  0.293  0.129 (multiplicity 4)
Cu  0.000  0.356  0.490 (multiplicity 4)
Cu  0.000  0.356  0.754 (multiplicity 4)
Cu  0.000  0.427  0.176 (multiplicity 4)
Se  0.000  0.127  0.624 (multiplicity 4)
Se  0.000  0.214  0.999 (multiplicity 4)
Se  0.000  0.215  0.260 (multiplicity 4)
Se  0.000  0.431  0.886 (multiplicity 4)
Se  0.000  0.432  0.357 (multiplicity 4)
Se  0.000  0.443  0.627 (multiplicity 4)

# 5
A relaxed structure of Mg2ZnNi, computed with GGA-PBE.

As for the total magnetic moment: 0.00 μB per atom. The value obtained for the energy of formation from the pure elements is 17 kJ per mole of atoms. The electronic total energy comes out at -0.175 Ry/atom.

Cell lengths 7.219, 7.219, 5.367 Å; angles 90.00, 90.00, 90.00 degrees
Space group I-42d (No. 122)
One atom of each set of equivalent atoms:
Mg  0.220  0.250  0.125 (multiplicity 8)
Zn  0.000  0.000  0.500 (multiplicity 4)
Ni  0.000  0.000  0.000 (multiplicity 4)

# 6
A relaxed structure of TiAgH2, computed with GGA-PBE.

The energy relative to the lowest polymorph listed for this composition is 0 meV per atom. As for the total magnetic moment: 0.00 μB per atom. The electronic total energy comes out at -0.319 Ry/atom.

Cell lengths 4.290, 4.290, 9.266 Å; angles 90.00, 90.00, 90.00 degrees
Space group I-42d (No. 122)
One atom of each set of equivalent atoms:
Ti  0.000  0.000  0.000 (multiplicity 4)
Ag  0.000  0.000  0.500 (multiplicity 4)
H  0.196  0.250  0.125 (multiplicity 8)

# 7
A relaxed structure of Y3Tm2Hg3, computed with GGA-PBE.

As for the total magnetic moment: 0.00 μB per atom. The value obtained for the energy of formation from the pure elements is -37 kJ per mole of atoms. The electronic total energy comes out at -0.297 Ry/atom.

Cell lengths 3.716, 5.291, 21.983 Å; angles 90.00, 90.00, 90.00 degrees
Space group Immm (No. 71)
One atom of each set of equivalent atoms:
Y  0.000  0.000  0.000 (multiplicity 2)
Y  0.000  0.500  0.122 (multiplicity 4)
Tm  0.000  0.000  0.233 (multiplicity 4)
Hg  0.000  0.000  0.500 (multiplicity 2)
Hg  0.000  0.500  0.380 (multiplicity 4)

# 8
A relaxed structure of PuU4Tc2, computed with GGA-PBE.

As for the total magnetic moment: 0.00 μB per atom. The value obtained for the energy of formation from the pure elements is -3 kJ per mole of atoms. The electronic total energy comes out at -0.845 Ry/atom.

Cell lengths 5.339, 6.268, 7.994 Å; angles 82.91, 87.46, 85.19 degrees
Space group P-1 (No. 2)
One atom of each set of equivalent atoms:
Pu  0.064  0.308  0.178 (multiplicity 2)
U  0.175  0.183  0.902 (multiplicity 2)
U  0.277  0.819  0.619 (multiplicity 2)
U  0.317  0.984  0.298 (multiplicity 2)
U  0.355  0.539  0.301 (multiplicity 2)
Tc  0.181  0.323  0.572 (multiplicity 2)
Tc  0.368  0.694  0.976 (multiplicity 2)